{
  "formula": "PdRh3W",
  "functional": "PBE-GGA",
  "state": "relaxed",
  "lattice": [[4.612, 0.000, 0.000], [0.000, 4.612, 0.000], [0.000, 0.000, 4.612]],
  "species": ["Pd", "Rh", "Rh", "Rh", "W"],
  "frac_coords": [[0.000, 0.000, 0.000], [0.000, 0.000, 0.500], [0.000, 0.500, 0.000], [0.500, 0.000, 0.000], [0.500, 0.500, 0.500]],
  "final_energy_ev_per_atom": -5.952,
  "crystal_system": "cubic"
}

---

{
  "formula": "BaFeS2Cl",
  "functional": "PBE-GGA",
  "state": "relaxed",
  "lattice": [[4.657, 0.000, 0.000], [0.000, 4.657, 0.000], [0.000, 0.000, 5.162]],
  "species": ["Ba", "Fe", "S", "S", "Cl"],
  "frac_coords": [[0.000, 0.000, 0.000], [0.500, 0.500, 0.500], [0.000, 0.500, 0.500], [0.500, 0.000, 0.500], [0.500, 0.500, 0.000]],
  "formation_energy_uncorrected_ev_per_atom": -1.123,
  "crystal_system": "tetragonal"
}

---

{
  "formula": "K2PbBr5",
  "functional": "PBE-GGA",
  "state": "relaxed",
  "lattice": [[0.000, 6.286, 8.150], [3.006, 0.000, 8.150], [3.006, 6.286, 0.000]],
  "species": ["K", "K", "Pb", "Br", "Br", "Br", "Br", "Br"],
  "frac_coords": [[0.189, 0.189, 0.811], [0.811, 0.811, 0.189], [0.500, 0.500, 0.500], [0.000, 0.000, 0.000], [0.217, 0.512, 0.488], [0.488, 0.783, 0.217], [0.512, 0.217, 0.783], [0.783, 0.488, 0.512]],
  "formation_energy_uncorrected_ev_per_atom": -1.072,
  "crystal_system": "orthorhombic"
}

---

{
  "formula": "PrNd2Al2",
  "functional": "PBE-GGA",
  "state": "relaxed",
  "lattice": [[6.376, -1.912, 0.000], [6.376, 1.912, 0.000], [-1.176, 0.000, 6.101]],
  "species": ["Pr", "Nd", "Nd", "Al", "Al"],
  "frac_coords": [[0.000, 0.000, 0.000], [0.365, 0.365, 0.431], [0.635, 0.635, 0.569], [0.292, 0.292, 0.892], [0.708, 0.708, 0.108]],
  "final_energy_ev_per_atom": -4.530,
  "crystal_system": "monoclinic"
}

---

Number 1: total magnetization 0.0 μB per formula unit. Number 2: total magnetization 3.7 μB per formula unit. Number 3: total magnetization 0.0 μB per formula unit. Number 4: total magnetization 0.0 μB per formula unit.